No. 1
Entry from Alexandria: a relaxed structure of PRu2Pt (PBE-GGA).

Cell: 8.387 8.387 8.387 Å, 19.30 19.30 19.30°
Atoms (fractional coordinates):
P (0.495, 0.495, 0.495)
Ru (0.004, 0.004, 0.004)
Ru (0.758, 0.758, 0.758)
Pt (0.243, 0.243, 0.243)

No. 2
Entry from Alexandria: a relaxed structure of P2RuPt (PBE-GGA).

Output
energy relative to the lowest polymorph listed for this composition: 231.0 meV/atom

Cell: 7.427 7.427 7.427 Å, 24.14 24.14 24.14°
Atoms (fractional coordinates):
P (0.003, 0.003, 0.003)
P (0.247, 0.247, 0.247)
Pt (0.513, 0.513, 0.513)
Ru (0.736, 0.736, 0.736)

No. 3
Entry from Alexandria: a relaxed structure of PRu2Pt (PBE-GGA).

Cell: 5.230 5.230 5.230 Å, 148.57 130.71 59.63°
Atoms (fractional coordinates):
P (0.000, 0.500, 0.500)
Ru (0.797, 0.797, 0.000)
Ru (0.203, 0.203, 0.000)
Pt (0.500, 0.000, 0.500)

Number 1: volume 14.09 Å³/atom, formation energy 0.00 eV/atom, spin magnetization 0.000 μB per cell. Number 2: volume 15.06 Å³/atom, formation energy -0.17 eV/atom, spin magnetization 0.000 μB per cell. Number 3: volume 14.02 Å³/atom, formation energy -0.15 eV/atom, spin magnetization 0.000 μB per cell.